VASP calculation (PBEsol) on an optimized crystal structure of Na3P6Pb2O18.

a b c (Å): 7.8989 7.8158 7.9283
angles (deg): 117.34 103.33 96.94
Last column: nearest neighbours and their distance in Å.
Element x y z (fractional)
O1 0.1874 0.8125 0.7794  1 P 1.50
O2 0.9346 0.9734 0.7645  2 P 1.62-1.63
O3 0.7718 0.2093 0.7100  1 P 1.48
O4 0.8792 0.6529 0.7815  1 P 1.50
O5 0.7145 0.8580 0.4237  2 P 1.62-1.63
O6 0.4018 0.0949 0.2900  1 P 1.51
O7 0.7485 0.5752 0.1190  1 P 1.48
O8 0.0821 0.3512 0.5324  2 P 1.62
O9 0.8126 0.1875 0.2206  1 P 1.50
O10 0.1208 0.3471 0.2185  1 P 1.50
O11 0.0654 0.0266 0.2355  2 P 1.62-1.63
O12 0.2282 0.7907 0.2900  1 P 1.48
O13 0.2855 0.1420 0.5763  2 P 1.62-1.63
O14 0.5766 0.5008 0.3307  1 P 1.51
O15 0.5982 0.9051 0.7100  1 P 1.51
O16 0.2515 0.4248 0.8810  1 P 1.48
O17 0.9179 0.6488 0.4676  2 P 1.62
O18 0.4234 0.4992 0.6693  1 P 1.51
P1 0.9853 0.7628 0.7108  4 O 1.50-1.63
P2 0.2723 0.3731 0.6831  4 O 1.48-1.63
P3 0.7447 0.9990 0.6612  4 O 1.48-1.62
P4 0.2553 0.0010 0.3388  4 O 1.48-1.62
P5 0.0147 0.2372 0.2892  4 O 1.50-1.63
P6 0.7277 0.6269 0.3169  4 O 1.48-1.63
Pb1 0.3764 0.1627 0.0178  3 O 2.42-2.61
Pb2 0.6236 0.8373 0.9822  3 O 2.42-2.61
Na1 0.0000 0.5000 0.0000  6 O 2.41-2.60
Na2 0.6582 0.3570 0.5371  5 O 2.27-2.47
Na3 0.3418 0.6430 0.4629  5 O 2.27-2.47

Values from the calculation:
As for the formation energy without anion corrections: -2.049 eV/atom.


VASP calculation (PBEsol) on an optimized crystal structure of Na4P6PbO18.

a b c (Å): 7.2977 7.8363 7.8060
angles (deg): 117.79 95.20 101.78
Last column: nearest neighbours and their distance in Å.
Element x y z (fractional)
O1 0.7027 0.8018 0.8091  1 P 1.49
O2 0.5732 0.2035 0.0100  2 P 1.62
O3 0.7544 0.2441 0.7656  1 P 1.48
O4 0.4352 0.7939 0.9905  2 P 1.62
O5 0.8047 0.5337 0.1099  2 P 1.62
O6 0.9316 0.2395 0.0660  1 P 1.51
O7 0.4328 0.4894 0.6727  2 P 1.63-1.64
O8 0.9230 0.6543 0.4758  1 P 1.51
O9 0.2089 0.4597 0.8893  2 P 1.62
O10 0.2566 0.7459 0.2339  1 P 1.48
O11 0.0735 0.7474 0.9331  1 P 1.51
O12 0.5661 0.5148 0.3163  2 P 1.63
O13 0.2680 0.1505 0.6291  1 P 1.49
O14 0.2938 0.2011 0.1696  1 P 1.50
O15 0.3605 0.7927 0.6646  1 P 1.51
O16 0.0739 0.3423 0.5252  1 P 1.49
O17 0.7457 0.8516 0.3645  1 P 1.48
O18 0.6231 0.2174 0.3463  1 P 1.50
Na1 0.5041 0.9991 0.4966  5 O 2.34-2.55
Na2 0.8693 0.0529 0.2371  4 O 2.31-2.41
Na3 0.8193 0.4799 0.6583  6 O 2.34-2.60
Na4 0.1739 0.5098 0.3416  6 O 2.36-2.54
P1 0.7713 0.6566 0.3324  4 O 1.48-1.63
P2 0.7779 0.2942 0.9761  4 O 1.48-1.62
P3 0.2319 0.6980 0.0245  4 O 1.48-1.62
P4 0.4903 0.7343 0.7769  4 O 1.49-1.64
P5 0.2326 0.3434 0.6613  4 O 1.49-1.63
P6 0.5081 0.2709 0.2197  4 O 1.50-1.63
Pb1 0.0937 0.9774 0.8040  6 O 2.43-2.71

Values from the calculation:
As for the formation energy without anion corrections: -2.170 eV/atom.


VASP calculation (PBEsol) on an optimized crystal structure of Na2P4Pd3O14.

a b c (Å): 9.5184 9.5184 13.5137
angles (deg): 90.00 90.00 90.00
Last column: nearest neighbours and their distance in Å.
Element x y z (fractional)
O1 0.7215 0.8055 0.1094  1 P 1.53
O2 0.3055 0.2215 0.6094  1 P 1.53
O3 0.2020 0.9380 0.6859  1 P 1.53
O4 0.1945 0.7215 0.1094  1 P 1.53
O5 0.2785 0.1945 0.8906  1 P 1.53
O6 0.0708 0.3680 0.1125  1 P 1.53
O7 0.7785 0.3055 0.6094  1 P 1.53
O8 0.7980 0.0620 0.3141  1 P 1.53
O9 0.6320 0.0708 0.1125  1 P 1.53
O10 0.2811 0.4108 0.0000  2 P 1.61
O11 0.5708 0.1320 0.6125  1 P 1.53
O12 0.9108 0.7811 0.5000  2 P 1.61
O13 0.8680 0.5708 0.6125  1 P 1.53
O14 0.9380 0.7980 0.6859  1 P 1.53
O15 0.4108 0.7189 0.0000  2 P 1.61
O16 0.4380 0.7020 0.8141  1 P 1.53
O17 0.7189 0.5891 0.0000  2 P 1.61
O18 0.4292 0.8680 0.6125  1 P 1.53
O19 0.9292 0.6320 0.8875  1 P 1.53
O20 0.9380 0.7980 0.3141  1 P 1.53
O21 0.7215 0.8055 0.8906  1 P 1.53
O22 0.1320 0.4292 0.3875  1 P 1.53
O23 0.4292 0.8680 0.3875  1 P 1.53
O24 0.8055 0.2785 0.1094  1 P 1.53
O25 0.3055 0.2215 0.3906  1 P 1.53
O26 0.5620 0.2980 0.1859  1 P 1.53
O27 0.7811 0.0891 0.5000  2 P 1.61
O28 0.0620 0.2020 0.6859  1 P 1.53
O29 0.8055 0.2785 0.8906  1 P 1.53
O30 0.2980 0.4380 0.8141  1 P 1.53
O31 0.2785 0.1945 0.1094  1 P 1.53
O32 0.2215 0.6945 0.6094  1 P 1.53
O33 0.5620 0.2980 0.8141  1 P 1.53
O34 0.4380 0.7020 0.1859  1 P 1.53
O35 0.6945 0.7785 0.6094  1 P 1.53
O36 0.7020 0.5620 0.8141  1 P 1.53
O37 0.6320 0.0708 0.8875  1 P 1.53
O38 0.1320 0.4292 0.6125  1 P 1.53
O39 0.2980 0.4380 0.1859  1 P 1.53
O40 0.8680 0.5708 0.3875  1 P 1.53
O41 0.5891 0.2811 0.0000  2 P 1.61
O42 0.9292 0.6320 0.1125  1 P 1.53
O43 0.3680 0.9292 0.1125  1 P 1.53
O44 0.1945 0.7215 0.8906  1 P 1.53
O45 0.0620 0.2020 0.3141  1 P 1.53
O46 0.3680 0.9292 0.8875  1 P 1.53
O47 0.5708 0.1320 0.3875  1 P 1.53
O48 0.2020 0.9380 0.3141  1 P 1.53
O49 0.2215 0.6945 0.3906  1 P 1.53
O50 0.7020 0.5620 0.1859  1 P 1.53
O51 0.7980 0.0620 0.6859  1 P 1.53
O52 0.7785 0.3055 0.3906  1 P 1.53
O53 0.2189 0.9108 0.5000  2 P 1.61
O54 0.0708 0.3680 0.8875  1 P 1.53
O55 0.6945 0.7785 0.3906  1 P 1.53
O56 0.0891 0.2189 0.5000  2 P 1.61
Na1 0.6140 0.8860 0.2500  4 O 2.29-2.56
Na2 0.3860 0.1140 0.2500  4 O 2.29-2.56
Na3 0.3860 0.1140 0.7500  4 O 2.29-2.56
Na4 0.8860 0.3860 0.2500  4 O 2.29-2.56
Na5 0.1140 0.6140 0.2500  4 O 2.29-2.56
Na6 0.6140 0.8860 0.7500  4 O 2.29-2.56
Na7 0.8860 0.3860 0.7500  4 O 2.29-2.56
Na8 0.1140 0.6140 0.7500  4 O 2.29-2.56
P1 0.7304 0.1520 0.6050  4 O 1.53-1.61
P2 0.8480 0.7304 0.3950  4 O 1.53-1.61
P3 0.6520 0.2304 0.1050  4 O 1.53-1.61
P4 0.8480 0.7304 0.6050  4 O 1.53-1.61
P5 0.2696 0.8480 0.6050  4 O 1.53-1.61
P6 0.2304 0.3480 0.1050  4 O 1.53-1.61
P7 0.2304 0.3480 0.8950  4 O 1.53-1.61
P8 0.3480 0.7696 0.8950  4 O 1.53-1.61
P9 0.2696 0.8480 0.3950  4 O 1.53-1.61
P10 0.7304 0.1520 0.3950  4 O 1.53-1.61
P11 0.3480 0.7696 0.1050  4 O 1.53-1.61
P12 0.6520 0.2304 0.8950  4 O 1.53-1.61
P13 0.7696 0.6520 0.1050  4 O 1.53-1.61
P14 0.1520 0.2696 0.6050  4 O 1.53-1.61
P15 0.7696 0.6520 0.8950  4 O 1.53-1.61
P16 0.1520 0.2696 0.3950  4 O 1.53-1.61
Pd1 0.5000 0.5000 0.1829  4 O 2.01
Pd2 0.0000 0.0000 0.3171  4 O 2.01
Pd3 0.6833 0.9413 0.0000  4 O 2.00-2.02
Pd4 0.0587 0.6833 0.0000  4 O 2.00-2.02
Pd5 0.3167 0.0587 0.0000  4 O 2.00-2.02
Pd6 0.5000 0.5000 0.8171  4 O 2.01
Pd7 0.0000 0.0000 0.6829  4 O 2.01
Pd8 0.9413 0.3167 0.0000  4 O 2.00-2.02
Pd9 0.5587 0.8167 0.5000  4 O 2.00-2.02
Pd10 0.1833 0.5587 0.5000  4 O 2.00-2.02
Pd11 0.8167 0.4413 0.5000  4 O 2.00-2.02
Pd12 0.4413 0.1833 0.5000  4 O 2.00-2.02

Values from the calculation:
As for the formation energy without anion corrections: -1.725 eV/atom.


VASP calculation (PBEsol) on an optimized crystal structure of Na3Sb3P2O14.

a b c (Å): 6.3275 7.2528 12.0854
angles (deg): 90.00 101.51 90.00
Last column: nearest neighbours and their distance in Å.
Element x y z (fractional)
Sb1 0.7732 0.7428 0.7425  6 O 1.95-2.03
Sb2 0.5000 0.5000 0.5000  6 O 1.96-2.05
Sb3 0.0000 0.0000 0.0000  6 O 1.96-2.05
Sb4 0.2268 0.2572 0.2575  6 O 1.95-2.03
Sb5 0.2732 0.7572 0.2425  6 O 1.95-2.03
Sb6 0.7268 0.2428 0.7575  6 O 1.95-2.03
Na1 0.5000 0.0000 0.5000  8 O 2.49-2.66
Na2 0.0000 0.5000 0.0000  8 O 2.49-2.66
Na3 0.5831 0.2983 0.0680  4 O 2.30-2.56
Na4 0.9169 0.7983 0.4320  4 O 2.30-2.56
Na5 0.0831 0.2017 0.5680  4 O 2.30-2.56
Na6 0.4169 0.7017 0.9320  4 O 2.30-2.56
O1 0.0414 0.2769 0.7473  1 P 1.56
O2 0.2311 0.0008 0.3060  2 Sb 1.95-1.96
O3 0.9586 0.7231 0.2527  1 P 1.56
O4 0.6354 0.2985 0.5962  2 Sb 1.96
O5 0.6894 0.6076 0.0806  1 P 1.50
O6 0.2689 0.5008 0.1940  2 Sb 1.95-1.96
O7 0.7689 0.9992 0.6940  2 Sb 1.95-1.96
O8 0.1354 0.2015 0.0962  2 Sb 1.96
O9 0.2001 0.8097 0.0775  2 Sb 1.98-1.99
O10 0.2999 0.3097 0.4225  2 Sb 1.98-1.99
O11 0.4586 0.7769 0.7527  1 P 1.56
O12 0.7999 0.1903 0.9225  2 Sb 1.98-1.99
O13 0.2184 0.0487 0.8988  1 P 1.58
O14 0.7184 0.4513 0.3988  1 P 1.58
O15 0.3646 0.7015 0.4038  2 Sb 1.96
O16 0.4154 0.1933 0.7611  1 P 1.56
O17 0.5846 0.8067 0.2389  1 P 1.56
O18 0.2816 0.5487 0.6012  1 P 1.58
O19 0.7311 0.4992 0.8060  2 Sb 1.95-1.96
O20 0.7816 0.9513 0.1012  1 P 1.58
O21 0.0846 0.6933 0.7389  1 P 1.56
O22 0.5414 0.2231 0.2473  1 P 1.56
O23 0.1894 0.8924 0.5806  1 P 1.50
O24 0.7001 0.6903 0.5775  2 Sb 1.98-1.99
O25 0.9154 0.3067 0.2611  1 P 1.56
O26 0.3106 0.3924 0.9194  1 P 1.50
O27 0.8646 0.7985 0.9038  2 Sb 1.96
O28 0.8106 0.1076 0.4194  1 P 1.50
P1 0.2499 0.7361 0.6626  4 O 1.50-1.58
P2 0.7501 0.2639 0.3374  4 O 1.50-1.58
P3 0.7499 0.7639 0.1626  4 O 1.50-1.58
P4 0.2501 0.2361 0.8374  4 O 1.50-1.58

Values from the calculation:
As for the formation energy without anion corrections: -1.858 eV/atom.


The records above yield uncorrected energy values of -200.86; -201.75; -627.98; -287.66 eV per cell, respectively.